VASP calculation (SCAN) on MnCdSb2 at its PBEsol-relaxed geometry. Values from VASP.

Values from the calculation:
* V: 22.7 Å³/atom
* SG: No. 99
* Fermi-level density of states: 2.09 states/eV per cell
* total magnetization: 4.05 Bohr magnetons per cell
* uncorrected energy: -30.7697 eV/atom
* uncorrected formation energy: 0.0281 eV per atom

```
&SYSTEM
  ibrav = 0, nat = 4, ntyp = 3
/
ATOMIC_SPECIES
Mn 54.94 Mn.upf
Sb 121.76 Sb.upf
Cd 112.41 Cd.upf
CELL_PARAMETERS angstrom
-2.4954 -1.6394 2.5294
2.2190 -3.2215 0.1013
3.0948 2.2740 4.5271
ATOMIC_POSITIONS crystal
Mn 0.5000 0.5000 0.8223
Sb 0.5000 0.5000 0.3077
Sb 0.0000 0.0000 0.9194
Cd 0.0000 0.0000 0.4507
```